No. 1
A plane-wave DFT calculation with PBE was carried out for a relaxed LuMg crystal.

a b c (Å): 5.432 10.096 5.782
angles (deg): 90.00 90.00 90.00
Space group Pmc2_1 (No. 26)
One atom of each set of equivalent atoms:
Lu 0.000 0.079 0.000
Lu 0.000 0.257 0.510
Lu 0.500 0.254 0.169
Mg 0.000 0.419 0.001
Mg 0.500 0.084 0.664
Mg 0.500 0.418 0.675

Output
- Calculated density: 6.26 g cm⁻³
- Energy: -3.005 eV/atom

---

No. 2
A plane-wave DFT calculation with PBE was carried out for a relaxed LuMg crystal.

a b c (Å): 6.679 17.645 5.379
angles (deg): 90.00 90.00 90.00
Space group Pbcm (No. 57)
One atom of each set of equivalent atoms:
Lu 0.122 0.192 0.250
Lu 0.127 0.524 0.250
Lu 0.377 0.033 0.250
Mg 0.127 0.637 0.750
Mg 0.375 0.139 0.750
Mg 0.376 0.697 0.250

Output
- Calculated density: 6.26 g cm⁻³
- Energy: -2.987 eV/atom

---

No. 3
A plane-wave DFT calculation with PBE was carried out for a relaxed LuMg crystal.

a b c (Å): 3.521 5.323 11.200
angles (deg): 90.00 90.00 90.00
Space group Pmmn (No. 59, origin choice 2)
One atom of each set of equivalent atoms:
Lu 0.250 0.250 0.040
Lu 0.250 0.750 0.227
Mg 0.250 0.250 0.523
Mg 0.250 0.750 0.706

Output
- Calculated density: 6.31 g cm⁻³
- Energy: -3.067 eV/atom

---

energy of number 3 (LuMg)?
-3.067 eV/atom